(1)
# SmEr4As5

A relaxed structure of SmEr4As5 (PBE, Alexandria). Values from VASP.

Quantum ESPRESSO input file:
```
&SYSTEM
  ibrav = 0, nat = 10, ntyp = 3
/
ATOMIC_SPECIES
Sm 150.36 Sm.upf
Er 167.26 Er.upf
As 74.92 As.upf
ATOMIC_POSITIONS crystal
Sm 0.000 0.000 0.000
Er 0.201 0.201 0.000
Er 0.399 0.399 0.000
Er 0.601 0.601 0.000
Er 0.799 0.799 0.000
As 0.103 0.603 0.500
As 0.300 0.800 0.500
As 0.500 0.000 0.500
As 0.700 0.200 0.500
As 0.897 0.397 0.500
CELL_PARAMETERS angstrom
-2.055 2.906 10.269
2.055 -2.906 10.269
2.055 2.906 -10.269
```

Calculated values
* VASP energy: -6.138 eV per atom
* calculated volume: 24.53 Å³/atom

---

(2)
# Sm2ErAs

A relaxed structure of Sm2ErAs (PBE, Alexandria). Values from VASP.

Quantum ESPRESSO input file:
```
&SYSTEM
  ibrav = 0, nat = 4, ntyp = 3
/
ATOMIC_SPECIES
Sm 150.36 Sm.upf
Er 167.26 Er.upf
As 74.92 As.upf
ATOMIC_POSITIONS crystal
Sm 0.229 0.229 0.229
Sm 0.771 0.771 0.771
Er 0.000 0.000 0.000
As 0.500 0.500 0.500
CELL_PARAMETERS angstrom
1.965 1.134 9.481
-1.965 1.134 9.481
0.000 -2.269 9.481
```

Calculated values
* VASP energy: -5.219 eV per atom
* calculated volume: 31.69 Å³/atom

---

(3)
# SmEr2As

A relaxed structure of SmEr2As (PBE, Alexandria). Values from VASP.

Quantum ESPRESSO input file:
```
&SYSTEM
  ibrav = 0, nat = 4, ntyp = 3
/
ATOMIC_SPECIES
Sm 150.36 Sm.upf
Er 167.26 Er.upf
As 74.92 As.upf
ATOMIC_POSITIONS crystal
Sm 0.000 0.000 0.000
Er 0.228 0.228 0.228
Er 0.772 0.772 0.772
As 0.500 0.500 0.500
CELL_PARAMETERS angstrom
1.911 1.103 9.422
-1.911 1.103 9.422
0.000 -2.207 9.422
```

Calculated values
* VASP energy: -5.224 eV per atom
* calculated volume: 29.81 Å³/atom

---

(4)
# SmEr3As4

A relaxed structure of SmEr3As4 (PBE, Alexandria). Values from VASP.

Quantum ESPRESSO input file:
```
&SYSTEM
  ibrav = 0, nat = 8, ntyp = 3
/
ATOMIC_SPECIES
Sm 150.36 Sm.upf
Er 167.26 Er.upf
As 74.92 As.upf
ATOMIC_POSITIONS crystal
Sm 0.000 0.000 0.000
Er 0.000 0.500 0.500
Er 0.500 0.000 0.500
Er 0.500 0.500 0.000
As 0.000 0.000 0.500
As 0.000 0.500 0.000
As 0.500 0.000 0.000
As 0.500 0.500 0.500
CELL_PARAMETERS angstrom
5.819 0.000 0.000
0.000 5.819 0.000
0.000 0.000 5.819
```

Calculated values
* VASP energy: -6.141 eV per atom
* calculated volume: 24.63 Å³/atom

---

(5)
# Sm5ErAs6

A relaxed structure of Sm5ErAs6 (PBE, Alexandria). Values from VASP.

Quantum ESPRESSO input file:
```
&SYSTEM
  ibrav = 0, nat = 12, ntyp = 3
/
ATOMIC_SPECIES
Sm 150.36 Sm.upf
Er 167.26 Er.upf
As 74.92 As.upf
ATOMIC_POSITIONS crystal
Sm 0.000 0.000 0.000
Sm 0.166 0.834 0.500
Sm 0.332 0.668 0.000
Sm 0.668 0.332 0.000
Sm 0.834 0.166 0.500
Er 0.500 0.500 0.500
As 0.089 0.418 0.253
As 0.254 0.254 0.748
As 0.418 0.089 0.253
As 0.582 0.911 0.747
As 0.746 0.746 0.252
As 0.911 0.582 0.747
CELL_PARAMETERS angstrom
3.633 -6.290 0.000
3.633 6.290 0.000
-2.423 0.000 6.847
```

Calculated values
* VASP energy: -6.195 eV per atom
* calculated volume: 26.08 Å³/atom

---

(6)
# SmErAs2

A relaxed structure of SmErAs2 (PBE, Alexandria). Values from VASP.

Quantum ESPRESSO input file:
```
&SYSTEM
  ibrav = 0, nat = 4, ntyp = 3
/
ATOMIC_SPECIES
Sm 150.36 Sm.upf
Er 167.26 Er.upf
As 74.92 As.upf
ATOMIC_POSITIONS crystal
Sm 0.000 0.000 0.000
Er 0.500 0.500 0.500
As 0.247 0.247 0.247
As 0.753 0.753 0.753
CELL_PARAMETERS angstrom
2.076 1.198 6.767
-2.076 1.198 6.767
0.000 -2.397 6.767
```

Calculated values
* VASP energy: -6.165 eV per atom
* energy above the lowest structure with this stoichiometry: 0 meV per atom
* calculated volume: 25.26 Å³/atom

---

(7)
# Sm4ErAs5

A relaxed structure of Sm4ErAs5 (PBE, Alexandria). Values from VASP.

Quantum ESPRESSO input file:
```
&SYSTEM
  ibrav = 0, nat = 10, ntyp = 3
/
ATOMIC_SPECIES
Sm 150.36 Sm.upf
Er 167.26 Er.upf
As 74.92 As.upf
ATOMIC_POSITIONS crystal
Sm 0.099 0.300 0.399
Sm 0.300 0.901 0.201
Sm 0.700 0.099 0.799
Sm 0.901 0.700 0.601
Er 0.500 0.500 0.000
As 0.000 0.000 0.000
As 0.204 0.599 0.803
As 0.401 0.204 0.605
As 0.599 0.796 0.395
As 0.796 0.401 0.197
CELL_PARAMETERS angstrom
-4.684 4.684 2.964
4.684 -4.684 2.964
4.684 4.684 -2.964
```

Calculated values
* VASP energy: -6.191 eV per atom
* calculated volume: 26.02 Å³/atom

---

(8)
# SmEr2As3

A relaxed structure of SmEr2As3 (PBE, Alexandria). Values from VASP.

Quantum ESPRESSO input file:
```
&SYSTEM
  ibrav = 0, nat = 6, ntyp = 3
/
ATOMIC_SPECIES
Sm 150.36 Sm.upf
Er 167.26 Er.upf
As 74.92 As.upf
ATOMIC_POSITIONS crystal
Sm 0.000 0.000 0.000
Er 0.334 0.334 0.000
Er 0.666 0.666 0.000
As 0.171 0.671 0.500
As 0.500 0.000 0.500
As 0.829 0.329 0.500
CELL_PARAMETERS angstrom
-2.065 2.920 6.188
2.065 -2.920 6.188
2.065 2.920 -6.188
```

Calculated values
* VASP energy: -6.148 eV per atom
* calculated volume: 24.87 Å³/atom

---

(9)
# SmErAs2

A relaxed structure of SmErAs2 (PBE, Alexandria). Values from VASP.

Quantum ESPRESSO input file:
```
&SYSTEM
  ibrav = 0, nat = 4, ntyp = 3
/
ATOMIC_SPECIES
Sm 150.36 Sm.upf
Er 167.26 Er.upf
As 74.92 As.upf
ATOMIC_POSITIONS crystal
Sm 0.000 0.000 0.000
Er 0.171 0.171 0.171
As 0.421 0.421 0.421
As 0.585 0.585 0.585
CELL_PARAMETERS angstrom
2.057 1.188 7.059
-2.057 1.188 7.059
0.000 -2.375 7.059
```

Calculated values
* VASP energy: -6.002 eV per atom
* energy above the lowest structure with this stoichiometry: 163 meV per atom
* calculated volume: 25.86 Å³/atom

---

(10)
# Sm3ErAs4

A relaxed structure of Sm3ErAs4 (PBE, Alexandria). Values from VASP.

Quantum ESPRESSO input file:
```
&SYSTEM
  ibrav = 0, nat = 8, ntyp = 3
/
ATOMIC_SPECIES
Sm 150.36 Sm.upf
Er 167.26 Er.upf
As 74.92 As.upf
ATOMIC_POSITIONS crystal
Sm 0.000 0.000 0.000
Sm 0.000 0.500 0.500
Sm 0.500 0.000 0.500
Er 0.500 0.500 0.000
As 0.253 0.747 0.000
As 0.255 0.255 0.500
As 0.745 0.745 0.500
As 0.747 0.253 0.000
CELL_PARAMETERS angstrom
4.182 -5.914 0.000
4.182 5.914 0.000
0.000 0.000 4.185
```

Calculated values
* VASP energy: -6.186 eV per atom
* calculated volume: 25.88 Å³/atom

---

(11)
# Tb3Sm2ErAs6

A relaxed structure of Tb3Sm2ErAs6 (PBE, Alexandria). Values from VASP.

Quantum ESPRESSO input file:
```
&SYSTEM
  ibrav = 0, nat = 12, ntyp = 4
/
ATOMIC_SPECIES
Tb 158.93 Tb.upf
Sm 150.36 Sm.upf
Er 167.26 Er.upf
As 74.92 As.upf
ATOMIC_POSITIONS crystal
Tb 0.000 0.000 0.000
Tb 0.333 0.333 0.666
Tb 0.667 0.667 0.334
Sm 0.334 0.334 0.168
Sm 0.666 0.666 0.832
Er 0.000 0.000 0.500
As 0.165 0.165 0.579
As 0.166 0.166 0.086
As 0.499 0.499 0.747
As 0.501 0.501 0.253
As 0.834 0.834 0.914
As 0.835 0.835 0.421
CELL_PARAMETERS angstrom
9.055 -2.078 0.000
9.055 2.078 0.000
-1.906 0.000 8.087
```

Calculated values
* VASP energy: -6.179 eV per atom
* calculated volume: 25.37 Å³/atom

---

(12)
# Tb2Sm3ErAs6

A relaxed structure of Tb2Sm3ErAs6 (PBE, Alexandria). Values from VASP.

Quantum ESPRESSO input file:
```
&SYSTEM
  ibrav = 0, nat = 12, ntyp = 4
/
ATOMIC_SPECIES
Tb 158.93 Tb.upf
Sm 150.36 Sm.upf
Er 167.26 Er.upf
As 74.92 As.upf
ATOMIC_POSITIONS crystal
Tb 0.166 0.166 0.333
Tb 0.834 0.834 0.667
Sm 0.167 0.167 0.833
Sm 0.500 0.500 0.500
Sm 0.833 0.833 0.167
Er 0.500 0.500 0.000
As 0.001 0.001 0.245
As 0.332 0.332 0.419
As 0.335 0.335 0.915
As 0.665 0.665 0.085
As 0.668 0.668 0.581
As 0.999 0.999 0.755
CELL_PARAMETERS angstrom
9.081 -2.085 0.000
9.081 2.085 0.000
-1.908 0.000 8.111
```

Calculated values
* VASP energy: -6.185 eV per atom
* calculated volume: 25.59 Å³/atom

---

(13)
# Tb2SmEr3As6

A relaxed structure of Tb2SmEr3As6 (PBE, Alexandria). Values from VASP.

Quantum ESPRESSO input file:
```
&SYSTEM
  ibrav = 0, nat = 12, ntyp = 4
/
ATOMIC_SPECIES
Tb 158.93 Tb.upf
Sm 150.36 Sm.upf
Er 167.26 Er.upf
As 74.92 As.upf
ATOMIC_POSITIONS crystal
Tb 0.167 0.167 0.334
Tb 0.833 0.833 0.666
Sm 0.500 0.500 0.000
Er 0.166 0.166 0.833
Er 0.500 0.500 0.500
Er 0.834 0.834 0.167
As 0.001 0.001 0.745
As 0.331 0.331 0.918
As 0.334 0.334 0.415
As 0.666 0.666 0.585
As 0.669 0.669 0.082
As 0.999 0.999 0.255
CELL_PARAMETERS angstrom
8.984 -2.062 0.000
8.984 2.062 0.000
-1.886 0.000 8.025
```

Calculated values
* VASP energy: -6.156 eV per atom
* calculated volume: 24.78 Å³/atom

---

(14)
# Sm2ErTe2As2

A relaxed structure of Sm2ErTe2As2 (PBE, Alexandria). Values from VASP.

Quantum ESPRESSO input file:
```
&SYSTEM
  ibrav = 0, nat = 7, ntyp = 4
/
ATOMIC_SPECIES
Sm 150.36 Sm.upf
Er 167.26 Er.upf
Te 127.60 Te.upf
As 74.92 As.upf
ATOMIC_POSITIONS crystal
Sm 0.112 0.112 0.000
Sm 0.888 0.888 0.000
Er 0.500 0.500 0.000
Te 0.306 0.306 0.000
Te 0.694 0.694 0.000
As 0.000 0.500 0.500
As 0.500 0.000 0.500
CELL_PARAMETERS angstrom
-2.645 2.645 7.779
2.645 -2.645 7.779
2.645 2.645 -7.779
```

Calculated values
* VASP energy: -5.223 eV per atom
* formation energy without anion corrections: -0.997 eV/atom
* calculated volume: 31.11 Å³/atom

---

(15)
# Sm2ErTh3As6

A relaxed structure of Sm2ErTh3As6 (PBE, Alexandria). Values from VASP.

Quantum ESPRESSO input file:
```
&SYSTEM
  ibrav = 0, nat = 12, ntyp = 4
/
ATOMIC_SPECIES
Sm 150.36 Sm.upf
Er 167.26 Er.upf
Th 232.04 Th.upf
As 74.92 As.upf
ATOMIC_POSITIONS crystal
Sm 0.166 0.166 0.333
Sm 0.834 0.834 0.667
Er 0.500 0.500 0.000
Th 0.167 0.167 0.834
Th 0.500 0.500 0.500
Th 0.833 0.833 0.166
As 0.000 0.000 0.243
As 0.000 0.000 0.757
As 0.333 0.333 0.417
As 0.336 0.336 0.917
As 0.664 0.664 0.083
As 0.667 0.667 0.583
CELL_PARAMETERS angstrom
9.177 -2.111 0.000
9.177 2.111 0.000
-1.887 0.000 8.188
```

Calculated values
* VASP energy: -6.814 eV per atom
* calculated volume: 26.44 Å³/atom

---

(16)
# Sm3ErTh2As6

A relaxed structure of Sm3ErTh2As6 (PBE, Alexandria). Values from VASP.

Quantum ESPRESSO input file:
```
&SYSTEM
  ibrav = 0, nat = 12, ntyp = 4
/
ATOMIC_SPECIES
Sm 150.36 Sm.upf
Er 167.26 Er.upf
Th 232.04 Th.upf
As 74.92 As.upf
ATOMIC_POSITIONS crystal
Sm 0.000 0.000 0.000
Sm 0.334 0.334 0.666
Sm 0.666 0.666 0.334
Er 0.000 0.000 0.500
Th 0.335 0.335 0.170
Th 0.665 0.665 0.830
As 0.164 0.164 0.581
As 0.167 0.167 0.083
As 0.499 0.499 0.744
As 0.501 0.501 0.256
As 0.833 0.833 0.917
As 0.836 0.836 0.419
CELL_PARAMETERS angstrom
9.176 -2.108 0.000
9.176 2.108 0.000
-1.941 0.000 8.182
```

Calculated values
* VASP energy: -6.617 eV per atom
* calculated volume: 26.38 Å³/atom

---

(17)
# SmEr3Th2As6

A relaxed structure of SmEr3Th2As6 (PBE, Alexandria). Values from VASP.

Quantum ESPRESSO input file:
```
&SYSTEM
  ibrav = 0, nat = 12, ntyp = 4
/
ATOMIC_SPECIES
Sm 150.36 Sm.upf
Er 167.26 Er.upf
Th 232.04 Th.upf
As 74.92 As.upf
ATOMIC_POSITIONS crystal
Sm 0.000 0.000 0.000
Er 0.000 0.000 0.500
Er 0.334 0.334 0.166
Er 0.666 0.666 0.834
Th 0.335 0.335 0.669
Th 0.665 0.665 0.331
As 0.165 0.165 0.589
As 0.169 0.169 0.077
As 0.498 0.498 0.255
As 0.502 0.502 0.745
As 0.831 0.831 0.923
As 0.835 0.835 0.411
CELL_PARAMETERS angstrom
9.061 -2.087 0.000
9.061 2.087 0.000
-1.865 0.000 8.095
```

Calculated values
* VASP energy: -6.582 eV per atom
* calculated volume: 25.51 Å³/atom

---

(18)
# SmErTh2As4

A relaxed structure of SmErTh2As4 (PBE, Alexandria). Values from VASP.

Quantum ESPRESSO input file:
```
&SYSTEM
  ibrav = 0, nat = 8, ntyp = 4
/
ATOMIC_SPECIES
Sm 150.36 Sm.upf
Er 167.26 Er.upf
Th 232.04 Th.upf
As 74.92 As.upf
ATOMIC_POSITIONS crystal
Sm 0.000 0.000 0.000
Er 0.000 0.500 0.500
Th 0.500 0.000 0.500
Th 0.500 0.500 0.000
As 0.243 0.000 0.744
As 0.246 0.500 0.252
As 0.754 0.500 0.748
As 0.757 0.000 0.256
CELL_PARAMETERS angstrom
7.247 0.000 0.000
0.000 4.215 0.000
-2.457 0.000 6.874
```

Calculated values
* VASP energy: -6.802 eV per atom
* calculated volume: 26.24 Å³/atom

---

(19)
# Sm3ErTm2As6

A relaxed structure of Sm3ErTm2As6 (PBE, Alexandria). Values from VASP.

Quantum ESPRESSO input file:
```
&SYSTEM
  ibrav = 0, nat = 12, ntyp = 4
/
ATOMIC_SPECIES
Sm 150.36 Sm.upf
Er 167.26 Er.upf
Tm 168.93 Tm.upf
As 74.92 As.upf
ATOMIC_POSITIONS crystal
Sm 0.000 0.000 0.000
Sm 0.333 0.667 0.000
Sm 0.667 0.333 0.000
Er 0.500 0.500 0.500
Tm 0.167 0.833 0.500
Tm 0.833 0.167 0.500
As 0.086 0.420 0.259
As 0.246 0.246 0.741
As 0.420 0.086 0.259
As 0.580 0.914 0.741
As 0.754 0.754 0.259
As 0.914 0.580 0.741
CELL_PARAMETERS angstrom
3.589 -6.215 0.000
3.589 6.215 0.000
-2.389 0.000 6.761
```

Calculated values
* VASP energy: -6.144 eV per atom
* calculated volume: 25.14 Å³/atom

---

(20)
# Sm2ErTmAs4

A relaxed structure of Sm2ErTmAs4 (PBE, Alexandria). Values from VASP.

Quantum ESPRESSO input file:
```
&SYSTEM
  ibrav = 0, nat = 8, ntyp = 4
/
ATOMIC_SPECIES
Sm 150.36 Sm.upf
Er 167.26 Er.upf
Tm 168.93 Tm.upf
As 74.92 As.upf
ATOMIC_POSITIONS crystal
Sm 0.000 0.000 0.000
Sm 0.000 0.500 0.500
Er 0.500 0.000 0.500
Tm 0.500 0.500 0.000
As 0.259 0.000 0.754
As 0.259 0.500 0.252
As 0.741 0.000 0.246
As 0.741 0.500 0.748
CELL_PARAMETERS angstrom
7.173 0.000 0.000
0.000 4.147 0.000
-2.394 0.000 6.768
```

Calculated values
* VASP energy: -6.150 eV per atom
* calculated volume: 25.17 Å³/atom